The following is a PBE-GGA calculation of SiHg2Os after structural relaxation, from the Alexandria database.

* E: -0.291 Ry/atom
* symmetry: Immm

Cell and atoms, written as POSCAR:
```
SiHg2Os
1.0
7.9878 0.0312 0.0081
6.5272 4.6044 -0.0081
-7.0350 -3.0146 2.2862
Hg Os Si
2 1 1
direct
0.4270 0.4270 0.0000 Hg
0.0730 0.0730 0.0000 Hg
0.7500 0.2500 0.5000 Os
0.2500 0.7500 0.5000 Si
```